Entry 1:
Below is an optimized crystal structure of HfBiPO, with properties calculated at the PBE-GGA level. Values from VASP.

Properties
Its energy relative to the lowest polymorph listed for this composition is 337 meV per atom. As for the total magnetization: 0.00 μB/f.u. The raw total energy is -55.71 eV for the cell shown.

```
&SYSTEM
  ibrav = 0, nat = 8, ntyp = 4
/
ATOMIC_SPECIES
P 30.97 P.upf
O 16.00 O.upf
Hf 178.49 Hf.upf
Bi 208.98 Bi.upf
ATOMIC_POSITIONS crystal
P 0.250 0.250 0.769
O 0.750 0.250 0.000
Hf 0.750 0.750 0.920
P 0.750 0.750 0.231
Bi 0.750 0.250 0.500
O 0.250 0.750 0.000
Hf 0.250 0.250 0.080
Bi 0.250 0.750 0.500
CELL_PARAMETERS angstrom
-3.536 0.224 2.179
-0.627 -4.068 -0.604
4.469 -1.788 7.429
```

=====

Entry 2:
Below is an optimized crystal structure of HoZnPd, with properties calculated at the PBE-GGA level. Values from VASP.

Properties
As for the total magnetization: 0.00 μB/f.u. The raw total energy is -26.30 eV for the cell shown. Its formation energy is -2.13 eV per formula unit.

```
&SYSTEM
  ibrav = 0, nat = 6, ntyp = 3
/
ATOMIC_SPECIES
Ho 164.93 Ho.upf
Pd 106.42 Pd.upf
Zn 65.41 Zn.upf
ATOMIC_POSITIONS crystal
Ho 0.000 0.000 0.500
Pd 0.667 0.333 0.250
Pd 0.333 0.667 0.750
Ho 0.000 0.000 0.000
Zn 0.333 0.667 0.250
Zn 0.667 0.333 0.750
CELL_PARAMETERS angstrom
-0.360 -1.966 -3.980
-0.983 -2.271 3.703
-6.571 2.112 -0.448
```